First-principles (PBE) data for crystalline TbScTcNi at its relaxed geometry, as listed in Alexandria via LeMat-Bulk.

a = 6.6145 Å, b = 6.6145 Å, c = 6.6145 Å
α = 90.00°, β = 90.00°, γ = 90.00°
Space group F-43m (No. 216)
Unique sites:
Tb 0.0000 0.0000 0.0000
Sc 0.0000 0.0000 0.5000
Tc 0.2500 0.2500 0.7500
Ni 0.2500 0.2500 0.2500

The value obtained for the total energy is -111.4 eV per cell. The formation energy is -0.18 eV per atom.


First-principles (PBE) data for crystalline ScTcNi2 at its relaxed geometry, as listed in Alexandria via LeMat-Bulk.

a = 3.8967 Å, b = 3.8967 Å, c = 3.6738 Å
α = 90.00°, β = 90.00°, γ = 90.00°
Space group P4/mmm (No. 123)
Unique sites:
Sc 0.0000 0.0000 0.0000
Tc 0.5000 0.5000 0.0000
Ni 0.0000 0.5000 0.5000

The value obtained for the total energy is -28.7 eV per cell. The formation energy is -0.11 eV per atom.


First-principles (PBE) data for crystalline ScTc2Ni2 at its relaxed geometry, as listed in Alexandria via LeMat-Bulk.

a = 3.6105 Å, b = 3.6105 Å, c = 11.6649 Å
α = 90.00°, β = 90.00°, γ = 90.00°
Space group I4/mmm (No. 139)
Unique sites:
Sc 0.0000 0.0000 0.0000
Tc 0.0000 0.5000 0.2500
Ni 0.0000 0.0000 0.4033

The value obtained for the total energy is -77.4 eV per cell. The formation energy is -0.02 eV per atom.